[1]
# Pm3HfGe5 (PBE, relaxed)
data_Pm3HfGe5
_chemical_formula_sum 'Pm6 Hf2 Ge10'
_cell_length_a 8.8439
_cell_length_b 8.8439
_cell_length_c 6.0281
_cell_angle_alpha 90.00
_cell_angle_beta 90.00
_cell_angle_gamma 120.00
_symmetry_space_group_name_H-M 'P 63/m c m'
_symmetry_Int_Tables_number 193
_symmetry_space_group_name_Hall '-P 6c 2'
loop_
_atom_site_label
_atom_site_type_symbol
_atom_site_fract_x
_atom_site_fract_y
_atom_site_fract_z
Pm1 Pm 0.0000 0.3857 0.2500
Hf1 Hf 0.0000 0.0000 0.0000
Ge1 Ge 0.0000 0.2655 0.7500
Ge2 Ge 0.3333 0.6667 0.0000
# - raw total energy (eV per formula unit) = -53.12
# - crystal system = hexagonal
# - magnetization (μB per cell) = 0.00
# - DOS(E_F) (states/eV/f.u.) = 5.515

=====

[2]
# Ag5Pd2Cl12 (PBE, relaxed)
data_Ag5Pd2Cl12
_chemical_formula_sum 'Ag10 Pd4 Cl24'
_cell_length_a 13.960
_cell_length_b 7.331
_cell_length_c 9.305
_cell_angle_alpha 90.00
_cell_angle_beta 104.68
_cell_angle_gamma 90.00
_symmetry_space_group_name_H-M 'C 1 2/m 1'
_symmetry_Int_Tables_number 12
_symmetry_space_group_name_Hall '-C 2y'
loop_
_atom_site_label
_atom_site_type_symbol
_atom_site_fract_x
_atom_site_fract_y
_atom_site_fract_z
Ag1 Ag 0.000 0.000 0.000
Ag2 Ag 0.195 0.500 0.875
Ag3 Ag 0.214 0.500 0.233
Pd1 Pd 0.000 0.249 0.500
Cl1 Cl 0.039 0.500 0.343
Cl2 Cl 0.040 0.000 0.345
Cl3 Cl 0.135 0.244 0.045
Cl4 Cl 0.166 0.257 0.643
# - raw total energy (eV per formula unit) = -54.21
# - crystal system = monoclinic
# - magnetization (μB per cell) = 3.78
# - DOS(E_F) (states/eV/f.u.) = 6.617
# - energy above the most stable polymorph in this dataset (meV/atom) = 0
# - ΔE_f (raw) (eV per atom) = -0.39